No. 1
VASP calculation (GGA-PBEsol) on a relaxed Li2La crystal.

## Properties
Volume: 26.2 A^3/atom
Uncorrected energy: -8.988 eV per cell
M_tot: 0.00 μB/f.u.
Energy of formation from the pure elements: 0.0972 eV/atom

Unit cell a=3.351 b=3.351 c=8.090 alpha=90.00 beta=90.00 gamma=120.00
Element x y z (fractional)
Li  0.667  0.333  0.647
Li  0.333  0.667  0.353
La  0.000  0.000  0.000


No. 2
VASP calculation (GGA-PBEsol) on a relaxed LiLa5 crystal.

## Properties
Volume: 32.1 A^3/atom
Uncorrected energy: -28.210 eV per cell
M_tot: 0.00 μB/f.u.
Energy of formation from the pure elements: 0.0814 eV/atom

Unit cell a=3.624 b=5.885 c=9.218 alpha=90.00 beta=101.34 gamma=90.00
Element x y z (fractional)
La  0.321  0.000  0.642
La  0.783  0.500  0.566
La  0.995  0.000  0.990
La  0.459  0.500  0.919
La  0.655  0.000  0.311
Li  0.119  0.500  0.238


No. 3
VASP calculation (GGA-PBEsol) on a relaxed Li5La crystal.

## Properties
Volume: 22.8 A^3/atom
Uncorrected energy: -14.656 eV per cell
M_tot: 0.00 μB/f.u.
Energy of formation from the pure elements: 0.0873 eV/atom

Unit cell a=3.243 b=5.595 c=8.523 alpha=111.50 beta=90.00 gamma=106.85
Element x y z (fractional)
Li  0.695  0.390  0.416
Li  0.700  0.400  0.859
Li  0.028  0.057  0.555
Li  0.355  0.710  0.253
Li  0.361  0.722  0.695
La  0.027  0.055  0.056


No. 4
VASP calculation (GGA-PBEsol) on a relaxed LiLa4 crystal.

## Properties
Volume: 31.0 A^3/atom
Uncorrected energy: -22.912 eV per cell
M_tot: 0.00 μB/f.u.
Energy of formation from the pure elements: 0.0881 eV/atom

Unit cell a=5.041 b=6.089 c=6.089 alpha=80.13 beta=65.55 gamma=65.55
Element x y z (fractional)
Li  0.000  0.000  0.000
La  0.197  0.408  0.198
La  0.605  0.198  0.592
La  0.395  0.802  0.408
La  0.803  0.592  0.802


No. 5
VASP calculation (GGA-PBEsol) on a relaxed LiLa crystal.

## Properties
Volume: 26.9 A^3/atom
Uncorrected energy: -14.401 eV per cell
M_tot: 0.00 μB/f.u.
Energy of formation from the pure elements: 0.0563 eV/atom

Unit cell a=3.560 b=3.560 c=8.491 alpha=90.00 beta=90.00 gamma=90.00
Element x y z (fractional)
La  0.000  0.500  0.859
La  0.500  0.000  0.141
Li  0.500  0.000  0.582
Li  0.000  0.500  0.418


No. 6
VASP calculation (GGA-PBEsol) on a relaxed Li24La5 crystal.

## Properties
Volume: 22.7 A^3/atom
Uncorrected energy: -71.429 eV per cell
M_tot: 0.00 μB/f.u.
Energy of formation from the pure elements: 0.0863 eV/atom

Unit cell a=9.487 b=9.487 c=9.487 alpha=109.47 beta=109.47 gamma=109.47
Element x y z (fractional)
Li  0.783  0.597  0.597
Li  0.000  0.409  0.672
Li  0.814  0.814  0.217
Li  0.403  0.186  0.000
Li  0.262  0.591  0.591
Li  0.672  0.409  0.000
Li  0.403  0.000  0.186
Li  0.597  0.597  0.783
Li  0.409  0.672  0.000
Li  0.217  0.814  0.814
Li  0.186  0.000  0.403
Li  0.591  0.262  0.591
Li  0.409  0.000  0.672
Li  0.328  0.328  0.738
Li  0.328  0.738  0.328
Li  0.000  0.403  0.186
Li  0.186  0.403  0.000
Li  0.597  0.783  0.597
Li  0.000  0.672  0.409
Li  0.738  0.328  0.328
Li  0.814  0.217  0.814
Li  0.591  0.591  0.262
Li  0.000  0.186  0.403
Li  0.672  0.000  0.409
La  0.304  0.304  0.304
La  0.000  0.696  0.000
La  0.696  0.000  0.000
La  0.000  0.000  0.000
La  0.000  0.000  0.696


No. 7
VASP calculation (GGA-PBEsol) on a relaxed LiLa crystal.

## Properties
Volume: 28.9 A^3/atom
Uncorrected energy: -14.175 eV per cell
M_tot: 0.00 μB/f.u.
Energy of formation from the pure elements: 0.1127 eV/atom

Unit cell a=3.384 b=3.384 c=11.091 alpha=90.00 beta=90.00 gamma=114.53
Element x y z (fractional)
La  0.750  0.250  0.864
La  0.250  0.750  0.136
Li  0.750  0.250  0.394
Li  0.250  0.750  0.606


No. 8
VASP calculation (GGA-PBEsol) on a relaxed LiLa crystal.

## Properties
Volume: 26.1 A^3/atom
Uncorrected energy: -13.946 eV per cell
M_tot: 0.00 μB/f.u.
Energy of formation from the pure elements: 0.1699 eV/atom

Unit cell a=3.352 b=4.720 c=6.805 alpha=90.00 beta=104.26 gamma=90.00
Element x y z (fractional)
Li  0.813  0.750  0.627
Li  0.187  0.250  0.373
La  0.569  0.750  0.137
La  0.431  0.250  0.863


No. 9
VASP calculation (GGA-PBEsol) on a relaxed LiLa3 crystal.

## Properties
Volume: 30.5 A^3/atom
Uncorrected energy: -17.636 eV per cell
M_tot: 0.00 μB/f.u.
Energy of formation from the pure elements: 0.0924 eV/atom

Unit cell a=3.551 b=5.726 c=5.992 alpha=90.00 beta=90.00 gamma=90.00
Element x y z (fractional)
La  0.000  0.000  0.997
La  0.500  0.500  0.867
La  0.500  0.000  0.456
Li  0.000  0.500  0.348


No. 10
VASP calculation (GGA-PBEsol) on a relaxed LiLa3 crystal.

## Properties
Volume: 30.5 A^3/atom
Uncorrected energy: -17.730 eV per cell
M_tot: 0.00 μB/f.u.
Energy of formation from the pure elements: 0.0689 eV/atom

Unit cell a=3.678 b=5.819 c=6.664 alpha=115.89 beta=106.02 gamma=90.00
Element x y z (fractional)
La  0.500  0.916  0.000
La  0.265  0.183  0.530
La  0.735  0.653  0.470
Li  0.000  0.415  0.000


No. 11
VASP calculation (GGA-PBEsol) on a relaxed LiLa crystal.

## Properties
Volume: 25.2 A^3/atom
Uncorrected energy: -13.998 eV per cell
M_tot: 0.00 μB/f.u.
Energy of formation from the pure elements: 0.1570 eV/atom

Unit cell a=5.227 b=5.227 c=5.227 alpha=60.00 beta=60.00 gamma=60.00
Element x y z (fractional)
Li  0.250  0.250  0.250
Li  0.000  0.000  0.000
La  0.750  0.750  0.750
La  0.500  0.500  0.500


No. 12
VASP calculation (GGA-PBEsol) on a relaxed Li5La crystal.

## Properties
Volume: 22.3 A^3/atom
Uncorrected energy: -14.609 eV per cell
M_tot: 0.00 μB/f.u.
Energy of formation from the pure elements: 0.0951 eV/atom

Unit cell a=5.741 b=5.741 c=5.741 alpha=60.00 beta=60.00 gamma=60.00
Element x y z (fractional)
Li  0.250  0.250  0.250
Li  0.623  0.623  0.623
Li  0.623  0.131  0.623
Li  0.623  0.623  0.131
Li  0.131  0.623  0.623
La  0.000  0.000  0.000


What is the formula in the third record? Li5La